Density functional theory data (PBE) for a geometry-optimized Ta2MnBe structure.

Results
E_form ... 102 meV per atom

Cell lengths 2.7977, 2.7977, 7.4560 Å; angles 90.00, 90.00, 93.46 degrees
With the nearest neighbours (Å) after each atom.
Element x y z (fractional)
1 Be 0.5000 0.5000 0.2500  8 Ta 2.59-2.68, 4 Be 2.80
2 Mn 0.5000 0.5000 0.7500  8 Ta 2.77-2.85, 4 Mn 2.80
3 Ta 0.0000 0.0000 0.0175  4 Be 2.59-2.68, 4 Mn 2.77-2.85, 4 Ta 2.80
4 Ta 0.0000 0.0000 0.4825  4 Be 2.59-2.68, 4 Mn 2.77-2.85, 4 Ta 2.80

Density functional theory data (PBE) for a geometry-optimized RbBeN2 structure.

Results
Raw formation energy ... 1.1940 eV per atom

Cell lengths 6.8192, 6.8192, 6.8192 Å; angles 26.12, 26.12, 26.12 degrees
With the nearest neighbours (Å) after each atom.
Element x y z (fractional)
1 Be 0.5000 0.5000 0.5000  6 N 1.92
2 N 0.1299 0.1299 0.1299  3 Be 1.92
3 N 0.8701 0.8701 0.8701  3 Be 1.92
4 Rb 0.0000 0.0000 0.0000  2 N 2.57

Density functional theory data (PBE) for a geometry-optimized CoPW structure.

Results
E_form ... -10 meV per atom

Cell lengths 3.9011, 3.9011, 3.9011 Å; angles 60.00, 60.00, 60.00 degrees
With the nearest neighbours (Å) after each atom.
Element x y z (fractional)
1 W 0.0000 0.0000 0.0000  4 P 2.39
2 Co 0.5000 0.5000 0.5000  4 P 2.39
3 P 0.7500 0.7500 0.7500  4 W 2.39, 4 Co 2.39

Density functional theory data (PBE) for a geometry-optimized YHfSc2Rh4 structure.

Results
E_form ... -942 meV per atom

Cell lengths 4.6495, 4.6495, 8.1210 Å; angles 73.37, 73.37, 60.00 degrees
With the nearest neighbours (Å) after each atom.
Element x y z (fractional)
1 Rh 0.6188 0.6188 0.1435  1 Hf 2.73, 4 Sc 2.82-3.05, 3 Y 2.90
2 Rh 0.8704 0.8704 0.3887  4 Sc 2.74-2.88, 3 Hf 2.82, 1 Y 2.98
3 Rh 0.3812 0.3812 0.8565  1 Hf 2.73, 4 Sc 2.82-3.05, 3 Y 2.90
4 Rh 0.1296 0.1296 0.6113  4 Sc 2.74-2.88, 3 Hf 2.82, 1 Y 2.98
5 Sc 0.2486 0.2486 0.2542  8 Rh 2.74-3.05
6 Sc 0.7514 0.7514 0.7458  8 Rh 2.74-3.05
7 Y 0.0000 0.0000 0.0000  8 Rh 2.90-2.98
8 Hf 0.5000 0.5000 0.5000  8 Rh 2.73-2.82

Density functional theory data (PBE) for a geometry-optimized KSc2Te2 structure.

Results
Raw formation energy ... -0.8868 eV per atom
Polymorph energy (0 for the lowest one) ... 0.00 eV/f.u.

Cell lengths 4.5375, 4.5375, 8.3992 Å; angles 74.33, 74.33, 90.00 degrees
With the nearest neighbours (Å) after each atom.
Element x y z (fractional)
1 Te 0.3709 0.3709 0.2582  4 Sc 2.94
2 Te 0.6291 0.6291 0.7418  4 Sc 2.94
3 Sc 0.2500 0.7500 0.5000  4 Te 2.94, 4 Sc 3.21
4 Sc 0.7500 0.2500 0.5000  4 Te 2.94, 4 Sc 3.21
5 K 0.0000 0.0000 0.0000  8 Te 3.78

Density functional theory data (PBE) for a geometry-optimized Li5ZnHg4 structure.

Results
E_form ... -325 meV per atom

Cell lengths 3.3309, 3.3309, 16.0382 Å; angles 90.00, 90.00, 90.00 degrees
With the nearest neighbours (Å) after each atom.
Element x y z (fractional)
1 Hg 0.0000 0.0000 0.1897  8 Li 2.84-2.88, 1 Zn 3.04
2 Hg 0.0000 0.0000 0.8103  8 Li 2.84-2.88, 1 Zn 3.04
3 Hg 0.0000 0.0000 0.6036  8 Li 2.88
4 Hg 0.0000 0.0000 0.3964  8 Li 2.88
5 Li 0.5000 0.5000 0.7065  8 Hg 2.88
6 Li 0.5000 0.5000 0.5000  8 Hg 2.88
7 Li 0.5000 0.5000 0.2935  8 Hg 2.88
8 Li 0.5000 0.5000 0.9087  4 Zn 2.77, 4 Hg 2.84, 1 Li 2.93
9 Li 0.5000 0.5000 0.0913  4 Zn 2.77, 4 Hg 2.84, 1 Li 2.93
10 Zn 0.0000 0.0000 0.0000  8 Li 2.77, 2 Hg 3.04

Density functional theory data (PBE) for a geometry-optimized K4BaCl6 structure.

Results
Raw formation energy ... -2.0945 eV per atom

Cell lengths 4.4243, 7.7878, 21.9987 Å; angles 90.00, 90.00, 106.50 degrees
With the nearest neighbours (Å) after each atom.
Element x y z (fractional)
1 Ba 0.6616 0.3232 0.2500  6 Cl 3.06-3.22
2 Ba 0.3384 0.6768 0.7500  6 Cl 3.06-3.22
3 Cl 0.6966 0.3932 0.7500  2 Ba 3.06, 2 K 3.08
4 Cl 0.0585 0.1170 0.3298  3 K 3.11-3.27, 2 Ba 3.22
5 Cl 0.2307 0.4614 0.5930  5 K 3.15-3.23
6 Cl 0.9415 0.8830 0.6702  3 K 3.11-3.27, 2 Ba 3.22
7 Cl 0.5000 0.0000 0.0000  6 K 3.16-3.17
8 Cl 0.7693 0.5386 0.0930  5 K 3.15-3.23
9 Cl 0.9415 0.8830 0.8298  3 K 3.11-3.27, 2 Ba 3.22
10 Cl 0.5000 0.0000 0.5000  6 K 3.16-3.17
11 Cl 0.3034 0.6068 0.2500  2 Ba 3.06, 2 K 3.08
12 Cl 0.2307 0.4614 0.9070  5 K 3.15-3.23
13 Cl 0.7693 0.5386 0.4070  5 K 3.15-3.23
14 Cl 0.0585 0.1170 0.1702  3 K 3.11-3.27, 2 Ba 3.22
15 K 0.4089 0.8177 0.1297  6 Cl 3.08-3.27
16 K 0.8596 0.7193 0.5405  6 Cl 3.11-3.23
17 K 0.1404 0.2807 0.0405  6 Cl 3.11-3.23
18 K 0.5911 0.1823 0.6297  6 Cl 3.08-3.27
19 K 0.5911 0.1823 0.8703  6 Cl 3.08-3.27
20 K 0.1404 0.2807 0.4595  6 Cl 3.11-3.23
21 K 0.4089 0.8177 0.3703  6 Cl 3.08-3.27
22 K 0.8596 0.7193 0.9595  6 Cl 3.11-3.23

Density functional theory data (PBE) for a geometry-optimized KLaRe2 structure.

Results
E_form ... 1241 meV per atom
Polymorph energy (0 for the lowest one) ... 2.94 eV/f.u.

Cell lengths 5.6642, 6.1315, 2.7748 Å; angles 84.47, 73.67, 113.47 degrees
With the nearest neighbours (Å) after each atom.
Element x y z (fractional)
1 Re 0.5000 0.0000 0.5000  4 Re 2.77-2.78
2 Re 0.0000 0.0000 0.0000  4 Re 2.77-2.78
3 La 0.5000 0.5000 0.0000  2 La 2.77, 2 K 2.78
4 K 0.0000 0.5000 0.5000  2 K 2.77, 2 La 2.78

Calculated calculated density, 12.14; 3.76; 10.83; 8.90; 3.99; 8.42; 2.31; 11.09 g/cm³ (same order as the records).
Calculated E, -36.19; -16.57; -25.50; -66.02; -24.48; -15.30; -80.87; -25.96 eV/cell (same order as the records).